# 1
The following is a GGA+U calculation of a relaxed structure of NaMoPb2F8, from the Alexandria database.

a b c (Å): 4.4584 5.7037 7.8419
angles (deg): 90.00 90.00 94.71
Fractional coordinates of all 12 atoms:
Pb: 0.5000 0.5000 0.7470
Pb: 0.5000 0.5000 0.2530
Na: 0.0000 0.0000 0.5000
F: 0.5939 0.7839 0.0000
F: 0.0697 0.7708 0.7896
F: 0.5893 0.7459 0.5000
F: 0.4107 0.2541 0.5000
F: 0.4061 0.2161 0.0000
F: 0.9304 0.2293 0.7896
F: 0.0696 0.7707 0.2104
F: 0.9303 0.2292 0.2104
Mo: 0.0000 0.0000 0.0000

Results
SG ... No. 10
D(E_F) ... 0.00 states/eV per cell
Total DFT energy (no corrections) ... -60.8 eV for the cell shown
Size of the total moment ... 3.00 Bohr magnetons per cell
Calculated density ... 5.726 Mg/m³

=====

# 2
The following is a GGA+U calculation of a relaxed structure of Na2PmMoF8, from the Alexandria database.

a b c (Å): 4.0510 5.5518 7.4697
angles (deg): 90.00 90.00 92.52
Fractional coordinates of all 12 atoms:
F: 0.0542 0.7734 0.7656
F: 0.9458 0.2266 0.7656
F: 0.4885 0.2361 0.5000
F: 0.5761 0.7695 0.0000
F: 0.5115 0.7639 0.5000
F: 0.0542 0.7734 0.2344
F: 0.4239 0.2305 0.0000
F: 0.9458 0.2266 0.2344
Mo: 0.0000 0.0000 0.0000
Na: 0.5000 0.5000 0.7644
Na: 0.5000 0.5000 0.2356
Pm: 0.0000 0.0000 0.5000

Results
SG ... No. 10
D(E_F) ... 0.00 states/eV per cell
Total DFT energy (no corrections) ... -67.0 eV for the cell shown
Size of the total moment ... 3.00 Bohr magnetons per cell
Calculated density ... 4.342 Mg/m³

=====

# 3
The following is a GGA+U calculation of a relaxed structure of RbNa2MoF6, from the Alexandria database.

a b c (Å): 6.1631 6.3163 8.6973
angles (deg): 90.00 89.17 90.00
Fractional coordinates of all 20 atoms:
F: 0.3116 0.6250 0.0229
F: 0.6149 0.2593 0.6290
F: 0.1284 0.3443 0.8021
F: 0.6284 0.1557 0.3021
F: 0.8716 0.6557 0.1979
F: 0.1149 0.2407 0.1290
F: 0.1884 0.1250 0.4771
F: 0.3851 0.7407 0.3710
F: 0.8116 0.8750 0.5229
F: 0.6884 0.3750 0.9771
F: 0.8851 0.7593 0.8710
F: 0.3716 0.8443 0.6979
Na: 0.4772 0.5137 0.7869
Na: 0.0228 0.0137 0.7131
Na: 0.9772 0.9863 0.2869
Na: 0.5228 0.4863 0.2131
Rb: 0.0000 0.5000 0.5000
Rb: 0.5000 0.0000 0.0000
Mo: 0.0000 0.5000 0.0000
Mo: 0.5000 0.0000 0.5000

Results
SG ... No. 14
D(E_F) ... 0.00 states/eV per cell
Total DFT energy (no corrections) ... -98.4 eV for the cell shown
Size of the total moment ... 6.00 Bohr magnetons per cell
Calculated density ... 3.349 Mg/m³

=====

# 4
The following is a GGA+U calculation of a relaxed structure of Rb2NaMoF6, from the Alexandria database.

a b c (Å): 6.2339 6.2339 6.2339
angles (deg): 60.00 60.00 60.00
Fractional coordinates of all 10 atoms:
F: 0.2384 0.2384 0.7615
F: 0.2384 0.7615 0.7615
F: 0.2384 0.7615 0.2384
F: 0.7615 0.2384 0.7615
F: 0.7615 0.2384 0.2384
F: 0.7615 0.7615 0.2384
Rb: 0.2500 0.2500 0.2500
Rb: 0.7500 0.7500 0.7500
Mo: 0.0000 0.0000 0.0000
Na: 0.5000 0.5000 0.5000

Results
SG ... No. 225
D(E_F) ... 0.00 states/eV per cell
Total DFT energy (no corrections) ... -49.4 eV for the cell shown
Size of the total moment ... 3.00 Bohr magnetons per cell
Calculated density ... 3.915 Mg/m³

=====

# 5
The following is a GGA+U calculation of a relaxed structure of Rb3Na2MoF9, from the Alexandria database.

a b c (Å): 6.2804 6.2804 7.7916
angles (deg): 90.00 90.00 120.00
Fractional coordinates of all 15 atoms:
F: 0.1519 0.8481 0.3538
F: 0.0000 0.5000 0.0000
F: 0.8481 0.1519 0.6462
F: 0.6962 0.8481 0.3538
F: 0.5000 0.5000 0.0000
F: 0.5000 0.0000 0.0000
F: 0.3038 0.1519 0.6462
F: 0.1519 0.3038 0.3538
F: 0.8481 0.6962 0.6462
Rb: 0.6667 0.3333 0.2673
Rb: 0.0000 0.0000 0.0000
Rb: 0.3333 0.6667 0.7327
Na: 0.3333 0.6667 0.1633
Na: 0.6667 0.3333 0.8367
Mo: 0.0000 0.0000 0.5000

Results
SG ... No. 164
D(E_F) ... 6.93 states/eV per cell
Total DFT energy (no corrections) ... -69.7 eV for the cell shown
Size of the total moment ... 2.00 Bohr magnetons per cell
Calculated density ... 3.552 Mg/m³

=====

# 6
The following is a GGA+U calculation of a relaxed structure of RbNaMoF6, from the Alexandria database.

a b c (Å): 5.8678 5.8678 11.8251
angles (deg): 90.00 90.00 120.00
Fractional coordinates of all 18 atoms:
Na: 0.3333 0.6667 0.2500
Na: 0.6667 0.3333 0.7500
Rb: 0.0000 0.0000 0.5000
Rb: 0.0000 0.0000 0.0000
F: 0.6514 0.0456 0.3471
F: 0.6514 0.6058 0.1529
F: 0.9544 0.6058 0.3471
F: 0.0456 0.3942 0.6529
F: 0.6058 0.9544 0.8471
F: 0.6058 0.6514 0.6529
F: 0.3942 0.0456 0.1529
F: 0.9544 0.3486 0.1529
F: 0.3942 0.3486 0.3471
F: 0.3486 0.9544 0.6529
F: 0.0456 0.6514 0.8471
F: 0.3486 0.3942 0.8471
Mo: 0.3333 0.6667 0.7500
Mo: 0.6667 0.3333 0.2500

Results
SG ... No. 163
D(E_F) ... 0.00 states/eV per cell
Total DFT energy (no corrections) ... -90.5 eV for the cell shown
Size of the total moment ... 4.00 Bohr magnetons per cell
Calculated density ... 2.999 Mg/m³

=====

# 7
The following is a GGA+U calculation of a relaxed structure of NaMoRh2F, from the Alexandria database.

a b c (Å): 4.8700 4.1894 4.8700
angles (deg): 90.00 90.00 90.00
Fractional coordinates of all 5 atoms:
Mo: 0.0000 0.0000 0.0000
Na: 0.5000 0.5000 0.5000
Rh: 0.5000 0.0000 0.0000
Rh: 0.0000 0.0000 0.5000
F: 0.0000 0.5000 0.0000

Results
SG ... No. 123
D(E_F) ... 3.50 states/eV per cell
Total DFT energy (no corrections) ... -23.3 eV for the cell shown
Size of the total moment ... 1.37 Bohr magnetons per cell
Calculated density ... 5.745 Mg/m³

=====

# 8
The following is a GGA+U calculation of a relaxed structure of NaMoSeF2, from the Alexandria database.

a b c (Å): 4.2528 5.3288 4.2528
angles (deg): 90.00 90.00 90.00
Fractional coordinates of all 5 atoms:
F: 0.5000 0.0000 0.0000
F: 0.0000 0.0000 0.5000
Na: 0.5000 0.5000 0.5000
Mo: 0.0000 0.0000 0.0000
Se: 0.0000 0.5000 0.0000

Results
SG ... No. 123
D(E_F) ... 0.00 states/eV per cell
Total DFT energy (no corrections) ... -24.2 eV for the cell shown
Size of the total moment ... 3.00 Bohr magnetons per cell
Calculated density ... 4.064 Mg/m³

=====

# 9
The following is a GGA+U calculation of a relaxed structure of NaSn2MoF8, from the Alexandria database.

a b c (Å): 5.2813 5.1789 7.5008
angles (deg): 87.98 90.28 90.16
Fractional coordinates of all 12 atoms:
F: 0.3124 0.3092 0.5494
F: 0.6876 0.6908 0.4506
F: 0.1278 0.7735 0.7886
F: 0.8722 0.2265 0.2114
F: 0.7910 0.1668 0.7820
F: 0.2090 0.8332 0.2180
F: 0.2963 0.2622 0.9425
F: 0.7037 0.7378 0.0575
Sn: 0.4878 0.4780 0.2532
Sn: 0.5122 0.5220 0.7468
Na: 0.0000 0.0000 0.5000
Mo: 0.0000 0.0000 0.0000

Results
SG ... No. 2
D(E_F) ... 0.00 states/eV per cell
Total DFT energy (no corrections) ... -60.9 eV for the cell shown
Size of the total moment ... 2.98 Bohr magnetons per cell
Calculated density ... 4.117 Mg/m³

=====

# 10
The following is a GGA+U calculation of a relaxed structure of Na2SnMoF8, from the Alexandria database.

a b c (Å): 4.9186 5.3445 7.3892
angles (deg): 89.40 90.47 90.69
Fractional coordinates of all 12 atoms:
F: 0.1920 0.8136 0.1964
F: 0.1834 0.8164 0.7913
F: 0.3215 0.2960 0.5022
F: 0.8080 0.1864 0.8036
F: 0.6785 0.7040 0.4978
F: 0.2829 0.2660 0.0013
F: 0.7171 0.7340 0.9987
F: 0.8166 0.1836 0.2087
Sn: 0.0000 0.0000 0.5000
Na: 0.5032 0.4948 0.2556
Na: 0.4968 0.5052 0.7444
Mo: 0.0000 0.0000 0.0000

Results
SG ... No. 2
Total DFT energy (no corrections) ... -59.3 eV for the cell shown
Size of the total moment ... 1.98 Bohr magnetons per cell
Calculated density ... 3.528 Mg/m³

=====

# 11
The following is a GGA+U calculation of a relaxed structure of NaTl2MoF6, from the Alexandria database.

a b c (Å): 6.2315 6.2315 6.2315
angles (deg): 60.00 60.00 60.00
Fractional coordinates of all 10 atoms:
Tl: 0.7500 0.7500 0.7500
Tl: 0.2500 0.2500 0.2500
F: 0.7613 0.7613 0.2387
F: 0.7613 0.2387 0.2387
F: 0.2387 0.7613 0.7613
F: 0.2387 0.2387 0.7613
F: 0.2387 0.7613 0.2387
F: 0.7613 0.2387 0.7613
Mo: 0.0000 0.0000 0.0000
Na: 0.5000 0.5000 0.5000

Results
SG ... No. 225
D(E_F) ... 0.00 states/eV per cell
Total DFT energy (no corrections) ... -48.0 eV for the cell shown
Size of the total moment ... 3.00 Bohr magnetons per cell
Calculated density ... 6.227 Mg/m³

=====

# 12
The following is a GGA+U calculation of a relaxed structure of NaTl2MoF8, from the Alexandria database.

a b c (Å): 5.4224 5.9319 6.9094
angles (deg): 88.11 92.41 89.83
Fractional coordinates of all 12 atoms:
F: 0.6689 0.6963 0.5012
F: 0.3311 0.3037 0.4988
F: 0.1340 0.8001 0.2298
F: 0.6904 0.8301 0.9975
F: 0.3096 0.1699 0.0025
F: 0.1255 0.8031 0.7982
F: 0.8745 0.1969 0.2018
F: 0.8660 0.1999 0.7702
Tl: 0.4906 0.5112 0.2336
Tl: 0.5094 0.4888 0.7664
Na: 0.0000 0.0000 0.5000
Mo: 0.0000 0.0000 0.0000

Results
SG ... No. 2
D(E_F) ... 3.29 states/eV per cell
Total DFT energy (no corrections) ... -55.1 eV for the cell shown
Size of the total moment ... 1.83 Bohr magnetons per cell
Calculated density ... 5.086 Mg/m³

=====

- Which of these has the highest total DFT energy (no corrections)?
  NaMoRh2F